# 1
! TlCr3 | the Alexandria database | PBE | optimized geometry; values from VASP
! Energy of formation, eV per atom: 0.66
! M_tot, μB per cell: 9.4
&SYSTEM
  ibrav = 0, nat = 12, ntyp = 2
/
ATOMIC_SPECIES
Tl 204.38 Tl.upf
Cr 52.00 Cr.upf
CELL_PARAMETERS angstrom
2.9966 0.0000 0.0000
-1.4983 2.5952 0.0000
0.0000 0.0000 25.2052
ATOMIC_POSITIONS crystal
Tl 0.0000 0.0000 0.0000
Tl 0.3333 0.6667 0.6667
Tl 0.6667 0.3333 0.3333
Cr 0.0000 0.0000 0.2364
Cr 0.0000 0.0000 0.5000
Cr 0.0000 0.0000 0.7636
Cr 0.3333 0.6667 0.1667
Cr 0.3333 0.6667 0.4303
Cr 0.3333 0.6667 0.9031
Cr 0.6667 0.3333 0.0969
Cr 0.6667 0.3333 0.5697
Cr 0.6667 0.3333 0.8333

---

# 2
! TlCr | the Alexandria database | PBE | optimized geometry; values from VASP
! Energy of formation, eV per atom: 0.73
! M_tot, μB per cell: 16.0
&SYSTEM
  ibrav = 0, nat = 8, ntyp = 2
/
ATOMIC_SPECIES
Tl 204.38 Tl.upf
Cr 52.00 Cr.upf
CELL_PARAMETERS angstrom
4.1739 0.0000 0.0000
0.0000 4.1739 0.0000
0.0000 0.0000 9.7220
ATOMIC_POSITIONS crystal
Tl 0.0000 0.2500 0.3750
Tl 0.0000 0.7500 0.6250
Tl 0.5000 0.2500 0.1250
Tl 0.5000 0.7500 0.8750
Cr 0.0000 0.2500 0.8750
Cr 0.0000 0.7500 0.1250
Cr 0.5000 0.2500 0.6250
Cr 0.5000 0.7500 0.3750

---

# 3
! Tl3Cr | the Alexandria database | PBE | optimized geometry; values from VASP
! Energy of formation, eV per atom: 0.39
! M_tot, μB per cell: 7.5
&SYSTEM
  ibrav = 0, nat = 8, ntyp = 2
/
ATOMIC_SPECIES
Tl 204.38 Tl.upf
Cr 52.00 Cr.upf
CELL_PARAMETERS angstrom
3.2254 0.0000 0.0000
0.0000 4.8180 0.0000
0.0000 0.0000 13.8597
ATOMIC_POSITIONS crystal
Tl 0.0000 0.0000 0.0000
Tl 0.0000 0.5000 0.1857
Tl 0.0000 0.5000 0.8143
Tl 0.5000 0.0000 0.3143
Tl 0.5000 0.0000 0.6857
Tl 0.5000 0.5000 0.5000
Cr 0.0000 0.0000 0.5000
Cr 0.5000 0.5000 0.0000

---

# 4
! TlCr | the Alexandria database | PBE | optimized geometry; values from VASP
! Energy of formation, eV per atom: 0.57
! M_tot, μB per cell: 0.1
&SYSTEM
  ibrav = 0, nat = 16, ntyp = 2
/
ATOMIC_SPECIES
Tl 204.38 Tl.upf
Cr 52.00 Cr.upf
CELL_PARAMETERS angstrom
6.4199 0.0000 0.0000
0.0000 7.0831 0.0000
0.0000 0.0000 7.6038
ATOMIC_POSITIONS crystal
Tl 0.0875 0.1540 0.4811
Tl 0.2029 0.6039 0.6756
Tl 0.2971 0.3961 0.1756
Tl 0.4125 0.8460 0.9811
Tl 0.5875 0.3460 0.5189
Tl 0.7029 0.8961 0.3244
Tl 0.7971 0.1039 0.8244
Tl 0.9125 0.6540 0.0189
Cr 0.0586 0.0439 0.1130
Cr 0.2223 0.7973 0.3279
Cr 0.2777 0.2027 0.8279
Cr 0.4414 0.9561 0.6130
Cr 0.5586 0.4561 0.8870
Cr 0.7223 0.7027 0.6721
Cr 0.7777 0.2973 0.1721
Cr 0.9414 0.5439 0.3870

---

# 5
! TlCr | the Alexandria database | PBE | optimized geometry; values from VASP
! Energy of formation, eV per atom: 1.40
! M_tot, μB per cell: 27.4
&SYSTEM
  ibrav = 0, nat = 12, ntyp = 2
/
ATOMIC_SPECIES
Tl 204.38 Tl.upf
Cr 52.00 Cr.upf
CELL_PARAMETERS angstrom
7.9187 0.0000 0.0000
0.0000 7.9187 0.0000
0.0000 0.0000 7.9187
ATOMIC_POSITIONS crystal
Tl 0.0000 0.2500 0.5000
Tl 0.0000 0.7500 0.5000
Tl 0.2500 0.5000 0.0000
Tl 0.5000 0.0000 0.2500
Tl 0.5000 0.0000 0.7500
Tl 0.7500 0.5000 0.0000
Cr 0.0000 0.5000 0.2500
Cr 0.0000 0.5000 0.7500
Cr 0.2500 0.0000 0.5000
Cr 0.5000 0.2500 0.0000
Cr 0.5000 0.7500 0.0000
Cr 0.7500 0.0000 0.5000

---

# 6
! Tl3Cr | the Alexandria database | PBE | optimized geometry; values from VASP
! Energy of formation, eV per atom: 0.44
! M_tot, μB per cell: 4.3
&SYSTEM
  ibrav = 0, nat = 4, ntyp = 2
/
ATOMIC_SPECIES
Tl 204.38 Tl.upf
Cr 52.00 Cr.upf
CELL_PARAMETERS angstrom
3.5509 0.0000 0.0000
0.0000 4.9161 0.0000
-1.6195 0.0000 6.0910
ATOMIC_POSITIONS crystal
Tl 0.0000 0.0000 0.0000
Tl 0.3959 0.5000 0.7311
Tl 0.6041 0.5000 0.2689
Cr 0.0000 0.0000 0.5000

---

# 7
! TlCr | the Alexandria database | PBE | optimized geometry; values from VASP
! Energy of formation, eV per atom: 0.77
! M_tot, μB per cell: 8.7
&SYSTEM
  ibrav = 0, nat = 4, ntyp = 2
/
ATOMIC_SPECIES
Tl 204.38 Tl.upf
Cr 52.00 Cr.upf
CELL_PARAMETERS angstrom
3.8468 0.0000 0.0000
0.0000 3.8468 0.0000
0.0000 0.0000 6.0248
ATOMIC_POSITIONS crystal
Tl 0.2500 0.2500 0.1571
Tl 0.7500 0.7500 0.8429
Cr 0.2500 0.2500 0.6401
Cr 0.7500 0.7500 0.3599

---

# 8
! TlCr | the Alexandria database | PBE | optimized geometry; values from VASP
! Energy of formation, eV per atom: 0.92
! M_tot, μB per cell: 16.5
&SYSTEM
  ibrav = 0, nat = 8, ntyp = 2
/
ATOMIC_SPECIES
Tl 204.38 Tl.upf
Cr 52.00 Cr.upf
CELL_PARAMETERS angstrom
5.7274 0.0000 0.0000
0.0000 5.7274 0.0000
0.0000 0.0000 5.7274
ATOMIC_POSITIONS crystal
Tl 0.0000 0.0000 0.0000
Tl 0.0000 0.5000 0.5000
Tl 0.5000 0.0000 0.5000
Tl 0.5000 0.5000 0.0000
Cr 0.0000 0.0000 0.5000
Cr 0.0000 0.5000 0.0000
Cr 0.5000 0.0000 0.0000
Cr 0.5000 0.5000 0.5000

---

Q: Which of these has the lowest energy of formation?
A: number 3